VASP calculation (PBE) on AcPm6Sm3 after structural relaxation.

Structure (POSCAR):
```
AcPm6Sm3
1.0
3.667 5.126 7.893
6.708 -4.351 6.171
6.496 1.654 2.370
Pm Sm Ac
6 3 1
Cartesian
8.348 4.743 8.088
11.547 0.206 9.547
5.603 2.346 6.618
8.855 -2.203 8.141
9.021 2.662 11.287
8.143 -0.048 4.933
9.349 1.634 7.521
7.170 0.633 9.183
5.032 0.981 3.488
11.287 1.194 13.368
```

Values from the calculation:
Total moment ... 0.001 μB per formula unit
DFT formation energy ... 0.27 eV/atom
Calculated volume ... 35.94 Å³/atom
Relative energy among the computed polymorphs ... 142 meV per atom
Theoretical density ... 7.15 g cm⁻³